Record 1
10
Lattice="6.992 0.000 0.000 0.000 6.992 0.000 0.000 0.000 2.759" Properties=species:S:1:pos:R:3 comment="ZrCu2Ni2, optimized geometry, DFT PBE" density_g_cm3=8.267 e_above_lowest_polymorph_mev_per_atom=72.5 energy_ev_per_cell=-57.34 ef_ev_per_fu=-0.369 pbc="T T T"
Ni 1.192 4.688 1.379
Ni 4.688 5.799 1.379
Ni 5.799 2.303 1.379
Ni 2.303 1.192 1.379
Cu 2.631 6.127 0.000
Cu 6.127 4.360 0.000
Cu 4.360 0.864 0.000
Cu 0.864 2.631 0.000
Zr 0.000 0.000 0.000
Zr 3.496 3.496 0.000


Record 2
12
Lattice="3.720 0.000 0.000 0.000 3.720 0.000 0.000 0.000 10.885" Properties=species:S:1:pos:R:3 comment="Zr2CuNi9, optimized geometry, DFT PBE" density_g_cm3=8.535 e_above_lowest_polymorph_mev_per_atom=0.0 energy_ev_per_cell=-76.36 ef_ev_per_fu=-3.134 pbc="T T T"
Zr 0.000 0.000 3.524
Zr 0.000 0.000 7.361
Cu 0.000 0.000 0.000
Ni 1.860 1.860 0.000
Ni 1.860 1.860 3.578
Ni 1.860 1.860 7.307
Ni 1.860 0.000 1.668
Ni 1.860 0.000 5.442
Ni 1.860 0.000 9.217
Ni 0.000 1.860 1.668
Ni 0.000 1.860 5.442
Ni 0.000 1.860 9.217


Record 3
4
Lattice="-3.310 -1.243 -2.110 -2.754 -2.496 1.774 -4.560 2.721 1.533" Properties=species:S:1:pos:R:3 comment="Zr2CuNi, optimized geometry, DFT PBE" density_g_cm3=6.905 energy_ev_per_cell=-27.06 ef_ev_per_fu=-0.087 pbc="T T T"
Zr -7.273 -1.284 0.113
Zr -4.175 -1.718 -0.473
Cu -6.777 -0.046 2.624
Ni -5.888 0.958 0.637


Record 4
6
Lattice="4.766 0.000 0.000 2.383 4.128 0.000 2.383 1.376 3.892" Properties=species:S:1:pos:R:3 comment="ZrCuNi4, optimized geometry, DFT PBE" density_g_cm3=8.449 energy_ev_per_cell=-37.87 ef_ev_per_fu=-2.102 pbc="T T T"
Cu 0.000 0.000 0.000
Ni 4.766 1.366 2.436
Ni 3.566 3.445 2.436
Ni 5.966 3.445 2.436
Ni 4.766 2.752 0.476
Zr 2.383 1.376 0.973


Record 5
4
Lattice="-0.862 -4.309 3.479 2.054 -5.123 -0.973 1.156 5.445 0.657" Properties=species:S:1:pos:R:3 comment="Zr2CuNi, optimized geometry, DFT PBE" density_g_cm3=7.386 energy_ev_per_cell=-27.54 ef_ev_per_fu=-0.569 pbc="T T T"
Cu 0.555 -4.395 1.167
Ni 1.928 -2.400 0.522
Zr 0.021 -0.170 0.045
Zr 0.438 -1.740 2.681


Record 6
4
Lattice="3.290 0.010 0.000 -0.009 3.290 0.000 0.000 0.000 6.347" Properties=species:S:1:pos:R:3 comment="Zr2CuNi, optimized geometry, DFT PBE" density_g_cm3=7.363 energy_ev_per_cell=-27.81 ef_ev_per_fu=-0.837 pbc="T T T"
Ni 1.640 1.650 4.634
Cu 0.000 0.000 3.350
Zr 0.000 0.000 6.075
Zr 1.640 1.650 1.810


Record 7
32
Lattice="-2.341 -3.558 -4.689 0.699 -3.462 5.258 -9.653 2.496 2.926" Properties=species:S:1:pos:R:3 comment="ZrCuNi6, optimized geometry, DFT PBE" density_g_cm3=8.615 energy_ev_per_cell=-194.59 ef_ev_per_fu=-1.315 pbc="T T T"
Zr -8.840 -1.663 -0.070
Zr -7.282 -1.614 5.029
Zr -4.779 1.236 1.449
Zr -0.048 0.012 0.015
Cu -4.025 -2.911 -1.570
Cu -2.444 -2.861 3.603
Cu -5.583 -2.279 1.728
Cu -0.887 -3.493 0.305
Ni -6.317 -2.306 -0.729
Ni -4.388 -4.260 2.778
Ni -4.380 -0.918 -0.049
Ni -4.818 -2.259 4.176
Ni -3.600 -0.894 2.505
Ni -5.168 -4.284 0.225
Ni -8.061 -1.638 2.479
Ni -6.772 -0.294 0.742
Ni -6.029 -0.271 3.176
Ni -1.651 -3.513 -2.144
Ni -9.350 -2.982 4.217
Ni -9.306 0.361 1.510
Ni -0.152 -3.466 2.762
Ni -8.562 0.384 3.944
Ni -10.094 -3.005 1.783
Ni -3.235 -2.886 1.016
Ni -2.082 -1.513 -0.745
Ni -1.301 -1.488 1.808
Ni -7.240 1.872 2.195
Ni -7.560 -3.660 1.015
Ni -6.816 -3.637 3.449
Ni -2.413 0.624 0.732
Ni -2.869 -4.879 -0.472
Ni -2.089 -4.854 2.081


Record 8
8
Lattice="7.222 0.000 0.000 0.000 7.222 0.000 3.611 3.611 2.751" Properties=species:S:1:pos:R:3 comment="Zr2CuNi, optimized geometry, DFT PBE" density_g_cm3=7.052 energy_ev_per_cell=-52.82 ef_ev_per_fu=0.565 pbc="T T T"
Ni 3.611 3.611 0.000
Ni 3.611 7.222 1.376
Cu 0.000 0.000 0.000
Cu 7.222 3.611 1.376
Zr 5.266 1.805 0.688
Zr 1.956 5.416 0.688
Zr 5.416 5.567 2.063
Zr 9.027 8.877 2.063